Record 1
# Th2Sc4Sn3H2 | the Alexandria database | PBE | optimized geometry
# Energy = -5.88 eV per atom
# Magnetization = 1.82 μB per formula unit
# Symmetry = No. 139
data_Th2Sc4Sn3H2
_chemical_formula_sum 'Th2 Sc4 Sn3 H2'
_cell_length_a 4.516
_cell_length_b 4.516
_cell_length_c 12.447
_cell_angle_alpha 100.45
_cell_angle_beta 100.45
_cell_angle_gamma 90.00
_space_group_name_H-M_alt 'P 1'
_space_group_IT_number 1
_space_group_name_Hall 'P 1'
loop_
_atom_site_label
_atom_site_fract_x
_atom_site_fract_y
_atom_site_fract_z
_atom_site_occupancy
Sc1 0.079 0.579 0.158 1
Sc2 0.421 0.921 0.842 1
Sc3 0.921 0.421 0.842 1
Sc4 0.579 0.079 0.158 1
H1 0.406 0.406 0.811 1
H2 0.594 0.594 0.189 1
Sn1 0.834 0.834 0.668 1
Sn2 0.166 0.166 0.332 1
Sn3 0.000 0.000 0.000 1
Th1 0.303 0.303 0.605 1
Th2 0.697 0.697 0.395 1

***

Record 2
# TlFeMo | the Alexandria database | PBE | optimized geometry
# Energy = -6.72 eV per atom
# Formation energy from the elements = 48.5 kJ/mol of atoms
# Magnetization = 1.05 μB per formula unit
# Offset from the most stable computed form = 0.0 meV per atom
# Symmetry = No. 107
data_TlFeMo
_chemical_formula_sum 'Tl1 Fe1 Mo1'
_cell_length_a 5.927
_cell_length_b 5.927
_cell_length_c 5.927
_cell_angle_alpha 150.52
_cell_angle_beta 150.52
_cell_angle_gamma 42.18
_space_group_name_H-M_alt 'P 1'
_space_group_IT_number 1
_space_group_name_Hall 'P 1'
loop_
_atom_site_label
_atom_site_fract_x
_atom_site_fract_y
_atom_site_fract_z
_atom_site_occupancy
Mo1 0.362 0.362 0.000 1
Fe1 0.978 0.978 0.000 1
Tl1 0.660 0.660 0.000 1

***

Record 3
# NdCdIn | the Alexandria database | PBE | optimized geometry
# Energy = -3.09 eV per atom
# Formation energy from the elements = -27.7 kJ/mol of atoms
# Magnetization = 0.00 μB per formula unit
# Symmetry = No. 107
data_NdCdIn
_chemical_formula_sum 'Nd1 Cd1 In1'
_cell_length_a 3.669
_cell_length_b 3.669
_cell_length_c 6.553
_cell_angle_alpha 106.26
_cell_angle_beta 106.26
_cell_angle_gamma 90.00
_space_group_name_H-M_alt 'P 1'
_space_group_IT_number 1
_space_group_name_Hall 'P 1'
loop_
_atom_site_label
_atom_site_fract_x
_atom_site_fract_y
_atom_site_fract_z
_atom_site_occupancy
Nd1 0.999 0.999 0.997 1
Cd1 0.322 0.322 0.644 1
In1 0.679 0.679 0.359 1

***

Record 4
# Rb2Br2O7 | the Alexandria database | PBE | optimized geometry
# Energy = -4.03 eV per atom
# Magnetization = 0.00 μB per formula unit
# Uncorrected formation energy = -390 meV per atom
# Symmetry = No. 12
data_Rb2Br2O7
_chemical_formula_sum 'Rb2 Br2 O7'
_cell_length_a 5.377
_cell_length_b 6.899
_cell_length_c 6.899
_cell_angle_alpha 99.76
_cell_angle_beta 96.37
_cell_angle_gamma 96.37
_space_group_name_H-M_alt 'P 1'
_space_group_IT_number 1
_space_group_name_Hall 'P 1'
loop_
_atom_site_label
_atom_site_fract_x
_atom_site_fract_y
_atom_site_fract_z
_atom_site_occupancy
O1 0.255 0.116 0.372 1
O2 0.319 0.649 0.649 1
O3 0.255 0.372 0.116 1
O4 0.745 0.884 0.628 1
O5 0.500 0.000 0.000 1
O6 0.681 0.351 0.351 1
O7 0.745 0.628 0.884 1
Rb1 0.000 0.707 0.293 1
Rb2 0.000 0.293 0.707 1
Br1 0.576 0.784 0.784 1
Br2 0.424 0.216 0.216 1

***

| no. | DOS at the Fermi energy (states/eV/cell) |
| --- | --- |
| 1 | 9.23 |
| 2 | 2.47 |
| 3 | 2.43 |
| 4 | 0.00 |